# BaTh2Ni

A relaxed BaTh2Ni crystal (PBE, the Alexandria database).

As for the formation energy: 0.13 eV/atom. As for the density of states at the Fermi level: 15.8 states/eV per cell.

It has space group R-3m (No. 166, hexagonal axes), with a = 3.8668 Å, b = 3.8668 Å, c = 31.9979 Å, α = 90.00°, β = 90.00° and γ = 120.00°. Symmetry generates all atoms from Ba at (0.0000, 0.0000, 0.0000), Th at (0.0000, 0.0000, 0.1153) and Ni at (0.0000, 0.0000, 0.5000).

---

# Ba2TiNi2

A relaxed Ba2TiNi2 crystal (PBE, the Alexandria database).

As for the formation energy: 0.60 eV/atom. As for the density of states at the Fermi level: 12.3 states/eV per cell.

It has space group I4/mmm (No. 139), with a = 3.495 Å, b = 3.495 Å, c = 21.697 Å, α = 90.00°, β = 90.00° and γ = 90.00°. Symmetry generates all atoms from Ba at (0.000, 0.000, 0.131), Ti at (0.000, 0.000, 0.500) and Ni at (0.000, 0.500, 0.250).

---

# BaTiNi3

A relaxed BaTiNi3 crystal (PBE, the Alexandria database).

As for the formation energy: 0.40 eV/atom. As for the density of states at the Fermi level: 5.2 states/eV per cell.

It has space group Pm-3m (No. 221), with a = 4.689 Å, b = 4.689 Å, c = 4.689 Å, α = 90.00°, β = 90.00° and γ = 90.00°. Symmetry generates all atoms from Ba at (0.000, 0.000, 0.000), Ti at (0.500, 0.500, 0.500) and Ni at (0.000, 0.500, 0.500).

---

# BaTi4Ni2

A relaxed BaTi4Ni2 crystal (PBE, the Alexandria database).

As for the formation energy: 1.27 eV/atom. As for the density of states at the Fermi level: 14.9 states/eV per cell.

It has space group I4/mmm (No. 139), with a = 4.926 Å, b = 4.926 Å, c = 12.223 Å, α = 90.00°, β = 90.00° and γ = 90.00°. Symmetry generates all atoms from Ba at (0.000, 0.000, 0.000), Ti at (0.000, 0.000, 0.224), Ti at (0.000, 0.500, 0.000) and Ni at (0.000, 0.000, 0.403).

---

# BaTi2Ni

A relaxed BaTi2Ni crystal (PBE, the Alexandria database).

As for the formation energy: 0.72 eV/atom. As for the density of states at the Fermi level: 23.4 states/eV per cell.

It has space group I4_1/amd (No. 141, origin choice 2), with a = 5.254 Å, b = 5.254 Å, c = 16.265 Å, α = 90.00°, β = 90.00° and γ = 90.00°. Symmetry generates all atoms from Ba at (0.000, 0.250, 0.375), Ti at (0.000, 0.000, 0.000) and Ni at (0.000, 0.250, 0.875).

---

# BaTiNi3

A relaxed BaTiNi3 crystal (PBE, the Alexandria database).

As for the formation energy: 1.87 eV/atom. As for the density of states at the Fermi level: 10.0 states/eV per cell.

It has space group Pm-3m (No. 221), with a = 4.833 Å, b = 4.833 Å, c = 4.833 Å, α = 90.00°, β = 90.00° and γ = 90.00°. Symmetry generates all atoms from Ba at (0.000, 0.000, 0.000), Ti at (0.500, 0.500, 0.500) and Ni at (0.000, 0.000, 0.500).

---

# BaTi2Ni

A relaxed BaTi2Ni crystal (PBE, the Alexandria database).

As for the formation energy: 0.73 eV/atom. As for the density of states at the Fermi level: 20.3 states/eV per cell.

It has space group Fm-3m (No. 225), with a = 6.707 Å, b = 6.707 Å, c = 6.707 Å, α = 90.00°, β = 90.00° and γ = 90.00°. Symmetry generates all atoms from Ba at (0.000, 0.000, 0.000), Ti at (0.250, 0.250, 0.250) and Ni at (0.000, 0.000, 0.500).

---

# BaTi3Ni

A relaxed BaTi3Ni crystal (PBE, the Alexandria database).

As for the formation energy: 2.09 eV/atom. As for the density of states at the Fermi level: 7.6 states/eV per cell.

It has space group Pm-3m (No. 221), with a = 4.918 Å, b = 4.918 Å, c = 4.918 Å, α = 90.00°, β = 90.00° and γ = 90.00°. Symmetry generates all atoms from Ba at (0.000, 0.000, 0.000), Ti at (0.000, 0.000, 0.500) and Ni at (0.500, 0.500, 0.500).

---

# Ba2TiNi2

A relaxed Ba2TiNi2 crystal (PBE, the Alexandria database).

As for the formation energy: 0.76 eV/atom. As for the density of states at the Fermi level: 9.6 states/eV per cell.

It has space group P4/mbm (No. 127), with a = 8.729 Å, b = 8.729 Å, c = 3.393 Å, α = 90.00°, β = 90.00° and γ = 90.00°. Symmetry generates all atoms from Ba at (0.140, 0.360, 0.000), Ti at (0.000, 0.000, 0.000) and Ni at (0.170, 0.670, 0.500).

---

# BaTi3Ni

A relaxed BaTi3Ni crystal (PBE, the Alexandria database).

As for the formation energy: 0.45 eV/atom. As for the density of states at the Fermi level: 4.2 states/eV per cell.

It has space group Pm-3m (No. 221), with a = 4.798 Å, b = 4.798 Å, c = 4.798 Å, α = 90.00°, β = 90.00° and γ = 90.00°. Symmetry generates all atoms from Ba at (0.000, 0.000, 0.000), Ti at (0.000, 0.500, 0.500) and Ni at (0.500, 0.500, 0.500).

---

# Ba2TlNi

A relaxed Ba2TlNi crystal (PBE, the Alexandria database).

As for the formation energy: 0.14 eV/atom. As for the density of states at the Fermi level: 17.8 states/eV per cell.

It has space group I-42d (No. 122), with a = 8.991 Å, b = 8.991 Å, c = 7.225 Å, α = 90.00°, β = 90.00° and γ = 90.00°. Symmetry generates all atoms from Ba at (0.183, 0.250, 0.125), Tl at (0.000, 0.000, 0.500) and Ni at (0.000, 0.000, 0.000).

---

# Ba2TlNi

A relaxed Ba2TlNi crystal (PBE, the Alexandria database).

As for the formation energy: -0.04 eV/atom. As for the density of states at the Fermi level: 3.8 states/eV per cell.

It has space group P4/mmm (No. 123), with a = 3.877 Å, b = 3.877 Å, c = 8.910 Å, α = 90.00°, β = 90.00° and γ = 90.00°. Symmetry generates all atoms from Ba at (0.000, 0.000, 0.210), Tl at (0.500, 0.500, 0.500) and Ni at (0.500, 0.500, 0.000).